HfSc3Se PBE optimized geometry; E_form (uncorrected) = -0.191 eV/atom; polymorph energy (0 for the lowest one) = 0.0000 eV/atom; calculated total energy = -6.68 eV per atom; symmetry = Pm-3m
1.0
-0.328 0.375 -4.972
0.178 -4.978 -0.388
-4.982 -0.203 0.313
Sc Hf Se
3 1 1
Cartesian
0.089 -2.489 -0.194
-2.491 -0.101 0.157
-0.164 0.188 -2.486
-2.566 -2.403 -2.523
0.000 0.000 0.000

***

HfScSe PBE optimized geometry; E_form (uncorrected) = -0.612 eV/atom; calculated total energy = -7.20 eV per atom; symmetry = P2_13
1.0
6.395 0.000 0.000
0.000 6.395 0.000
0.000 0.000 6.395
Hf Se Sc
4 4 4
Cartesian
2.276 4.118 0.921
0.921 2.276 4.118
4.118 0.921 2.276
5.474 5.474 5.474
3.207 3.207 3.207
6.385 3.188 0.010
0.010 6.385 3.188
3.188 0.010 6.385
0.884 0.884 0.884
4.081 2.314 5.511
2.314 5.511 4.081
5.511 4.081 2.314

***

HfScSe3 PBE optimized geometry; E_form (uncorrected) = -1.462 eV/atom; polymorph energy (0 for the lowest one) = 0.0000 eV/atom; calculated total energy = -6.81 eV per atom; symmetry = C2/m
1.0
-4.747 2.557 3.752
-5.278 -3.671 1.574
1.303 -1.152 6.353
Hf Sc Se
2 2 6
Cartesian
-2.672 -0.918 4.954
-6.049 -1.349 6.725
-4.317 -2.034 1.674
-5.708 0.919 3.652
-3.225 1.625 4.386
-0.219 -0.220 5.719
-1.804 -1.287 2.448
-3.551 -0.567 7.458
-6.917 -0.980 9.231
-5.170 -1.700 4.220

***

Hf2ScSe PBE optimized geometry; E_form (uncorrected) = -0.192 eV/atom; calculated total energy = -7.62 eV per atom; symmetry = I-42d
1.0
-0.065 2.676 7.701
2.615 -7.287 2.554
3.888 -1.463 4.857
Sc Hf Se
2 4 2
Cartesian
1.275 -2.306 5.127
3.889 -5.528 6.269
1.254 0.570 6.847
2.602 -4.760 3.272
3.702 -2.353 7.322
5.317 -5.606 12.782
0.000 0.000 0.000
2.549 -0.546 8.842

***

HfScSe3 PBE optimized geometry; E_form (uncorrected) = -1.314 eV/atom; polymorph energy (0 for the lowest one) = 0.1477 eV/atom; calculated total energy = -6.66 eV per atom; symmetry = P2_1/m
1.0
3.979 0.000 0.000
0.000 6.708 -0.450
0.000 -3.813 10.094
Hf Sc Se
2 2 6
Cartesian
0.995 -1.782 6.490
2.984 4.677 3.155
0.995 0.588 1.554
2.984 2.307 8.090
0.995 -2.594 9.038
2.984 5.489 0.606
0.995 -0.436 4.134
2.984 3.331 5.510
0.995 0.619 7.470
2.984 2.276 2.174

***

HfScSe2 PBE optimized geometry; E_form (uncorrected) = -1.090 eV/atom; polymorph energy (0 for the lowest one) = 0.1328 eV/atom; calculated total energy = -6.90 eV per atom; symmetry = P3m1
1.0
3.718 0.000 0.000
-1.859 3.220 0.000
0.000 0.000 7.445
Hf Sc Se
1 1 2
Cartesian
0.000 0.000 3.100
0.000 2.146 7.314
1.859 1.073 1.495
0.000 0.000 5.706

***

no.,DOS at the Fermi energy (states/eV/f.u.)
1,8.40
2,3.49
3,1.24
4,4.98
5,2.12
6,3.18